Al2TcSb (PBE, relaxed); E_form (uncorrected) = 0.123 eV per atom; crystal system = orthorhombic; magnetization = 0.00 μB per cell
1.0
4.730 0.020 0.000
-1.680 4.421 0.000
0.000 0.000 3.276
Tc Al Sb
1 2 1
direct
0.000 0.500 0.500
0.000 0.000 0.000
0.500 0.500 0.000
0.500 0.000 0.500